# 1
{"formula": "Ce2MgPb4", "functional": "PBE-GGA", "state": "relaxed", "lattice": [[-5.466, 2.007, -0.675], [-2.037, -5.495, 0.158], [3.102, 2.172, 6.788]], "species": ["Ce", "Ce", "Mg", "Pb", "Pb", "Pb", "Pb"], "fractional_positions": [[0.640, 0.640, 0.281], [0.360, 0.360, 0.719], [0.000, 0.000, 0.000], [0.750, 0.250, 0.500], [0.250, 0.750, 0.500], [0.500, 0.000, 0.000], [0.000, 0.500, 0.000]], "dft_energy_ev_per_atom": -4.122, "e_form_ev_per_atom": -0.08, "space_group": "I4/mmm"}

# 2
{"formula": "CeMg2Pb", "functional": "PBE-GGA", "state": "relaxed", "lattice": [[3.532, 0.000, 0.000], [0.000, 3.532, 0.000], [0.000, 0.000, 8.723]], "species": ["Pb", "Mg", "Mg", "Ce"], "fractional_positions": [[0.500, 0.500, 0.000], [0.000, 0.000, 0.769], [0.000, 0.000, 0.231], [0.500, 0.500, 0.500]], "dft_energy_ev_per_atom": -3.228, "e_form_ev_per_atom": -0.02, "space_group": "P4/mmm", "e_above_lowest_polymorph_kcal_per_mol_atoms": 4.89}

# 3
{"formula": "Ce4Mg5Pb6", "functional": "PBE-GGA", "state": "relaxed", "lattice": [[4.821, 0.000, 0.000], [-2.411, 10.670, 0.000], [0.000, 0.000, 16.920]], "species": ["Ce", "Ce", "Ce", "Ce", "Ce", "Ce", "Ce", "Ce", "Mg", "Mg", "Mg", "Mg", "Mg", "Mg", "Mg", "Mg", "Mg", "Mg", "Pb", "Pb", "Pb", "Pb", "Pb", "Pb", "Pb", "Pb", "Pb", "Pb", "Pb", "Pb"], "fractional_positions": [[0.966, 0.932, 0.267], [0.034, 0.068, 0.767], [0.162, 0.325, 0.300], [0.838, 0.675, 0.800], [0.826, 0.652, 0.443], [0.174, 0.348, 0.943], [0.021, 0.041, 0.498], [0.979, 0.959, 0.998], [0.439, 0.878, 0.682], [0.561, 0.122, 0.182], [0.155, 0.309, 0.627], [0.845, 0.691, 0.127], [0.653, 0.306, 0.485], [0.347, 0.694, 0.985], [0.304, 0.609, 0.620], [0.696, 0.391, 0.120], [0.341, 0.683, 0.273], [0.659, 0.317, 0.773], [0.764, 0.529, 0.270], [0.427, 0.854, 0.416], [0.773, 0.545, 0.976], [0.227, 0.455, 0.476], [0.438, 0.876, 0.854], [0.562, 0.124, 0.354], [0.431, 0.862, 0.129], [0.569, 0.138, 0.629], [0.108, 0.216, 0.115], [0.892, 0.784, 0.615], [0.573, 0.146, 0.916], [0.236, 0.471, 0.770]], "dft_energy_ev_per_atom": -3.889, "e_form_ev_per_atom": -0.29, "space_group": "Cmc2_1"}

# 4
{"formula": "Ce5Mg2Pb5", "functional": "PBE-GGA", "state": "relaxed", "lattice": [[4.610, 0.000, 0.000], [-2.305, 7.378, -0.654], [0.000, -4.527, 10.986]], "species": ["Ce", "Ce", "Ce", "Ce", "Ce", "Mg", "Mg", "Pb", "Pb", "Pb", "Pb", "Pb"], "fractional_positions": [[0.500, 0.000, 0.500], [0.663, 0.327, 0.033], [0.662, 0.325, 0.269], [0.338, 0.675, 0.731], [0.337, 0.673, 0.967], [0.064, 0.128, 0.780], [0.936, 0.872, 0.220], [0.133, 0.266, 0.450], [0.693, 0.386, 0.777], [0.307, 0.614, 0.223], [0.867, 0.734, 0.550], [0.000, 0.000, 0.000]], "dft_energy_ev_per_atom": -4.529, "e_form_ev_per_atom": -0.25, "space_group": "C2/m"}

# 5
{"formula": "CeMg2Pb", "functional": "PBE-GGA", "state": "relaxed", "lattice": [[-2.428, -0.095, 4.700], [-2.375, -4.427, 1.661], [2.078, -2.778, 3.995]], "species": ["Pb", "Mg", "Mg", "Ce"], "fractional_positions": [[0.500, 0.500, 0.500], [0.250, 0.250, 0.250], [0.750, 0.750, 0.750], [0.000, 0.000, 0.000]], "dft_energy_ev_per_atom": -3.216, "e_form_ev_per_atom": -0.01, "space_group": "Fm-3m", "e_above_lowest_polymorph_kcal_per_mol_atoms": 5.18}

# 6
{"formula": "Ce2Mg2Pb3", "functional": "PBE-GGA", "state": "relaxed", "lattice": [[4.507, 0.000, 0.598], [0.000, 3.429, 0.000], [0.616, 0.000, 12.636]], "species": ["Ce", "Ce", "Mg", "Mg", "Pb", "Pb", "Pb"], "fractional_positions": [[0.577, 0.500, 0.847], [0.423, 0.500, 0.153], [0.713, 0.500, 0.574], [0.287, 0.500, 0.426], [0.841, 0.000, 0.318], [0.000, 0.000, 0.000], [0.159, 0.000, 0.682]], "dft_energy_ev_per_atom": -3.922, "e_form_ev_per_atom": -0.18, "space_group": "Cmmm"}

# 7
{"formula": "CeMg2Pb", "functional": "PBE-GGA", "state": "relaxed", "lattice": [[3.283, 0.000, 0.000], [1.641, 2.843, 0.000], [1.641, 0.948, 11.743]], "species": ["Pb", "Mg", "Mg", "Ce"], "fractional_positions": [[0.500, 0.500, 0.500], [0.091, 0.091, 0.726], [0.909, 0.909, 0.274], [0.000, 0.000, 0.000]], "dft_energy_ev_per_atom": -3.022, "e_form_ev_per_atom": 0.19, "space_group": "R-3m", "e_above_lowest_polymorph_kcal_per_mol_atoms": 9.65}

# 8
{"formula": "CeMg2Pb", "functional": "PBE-GGA", "state": "relaxed", "lattice": [[-1.408, 4.060, -2.448], [0.084, -2.373, -3.984], [-4.445, -1.176, 0.607]], "species": ["Pb", "Mg", "Mg", "Ce"], "fractional_positions": [[0.500, 0.000, 0.000], [0.000, 0.000, 0.500], [0.000, 0.500, 0.000], [0.500, 0.500, 0.500]], "dft_energy_ev_per_atom": -3.440, "e_form_ev_per_atom": -0.23, "space_group": "P4/mmm", "e_above_lowest_polymorph_kcal_per_mol_atoms": 0.00}

# 9
{"formula": "Ce4MgPb5", "functional": "PBE-GGA", "state": "relaxed", "lattice": [[-0.514, 3.015, -2.838], [2.658, -1.953, -2.556], [-12.795, -8.556, -6.768]], "species": ["Ce", "Ce", "Ce", "Ce", "Mg", "Pb", "Pb", "Pb", "Pb", "Pb"], "fractional_positions": [[0.000, 0.000, 0.205], [0.000, 0.000, 0.401], [0.000, 0.000, 0.599], [0.000, 0.000, 0.795], [0.000, 0.000, 0.000], [0.500, 0.500, 0.097], [0.500, 0.500, 0.301], [0.500, 0.500, 0.500], [0.500, 0.500, 0.699], [0.500, 0.500, 0.903]], "dft_energy_ev_per_atom": -4.680, "e_form_ev_per_atom": -0.29, "space_group": "P4/mmm"}

# 10
{"formula": "Ce2MgPb2", "functional": "PBE-GGA", "state": "relaxed", "lattice": [[5.007, 0.000, 0.000], [0.000, 6.903, 0.000], [-2.504, 0.000, 8.772]], "species": ["Ce", "Ce", "Ce", "Ce", "Mg", "Mg", "Pb", "Pb", "Pb", "Pb"], "fractional_positions": [[0.991, 0.739, 0.983], [0.802, 0.429, 0.605], [0.198, 0.929, 0.395], [0.009, 0.239, 0.017], [0.397, 0.041, 0.795], [0.603, 0.541, 0.205], [0.426, 0.484, 0.853], [0.819, 0.942, 0.638], [0.181, 0.442, 0.362], [0.574, 0.984, 0.147]], "dft_energy_ev_per_atom": -4.475, "e_form_ev_per_atom": -0.30, "space_group": "Cmc2_1"}

# 11
{"formula": "Ce3MgPb2", "functional": "PBE-GGA", "state": "relaxed", "lattice": [[6.668, 0.000, 0.000], [0.000, 6.454, 0.000], [-3.334, -3.227, 8.589]], "species": ["Ce", "Ce", "Ce", "Ce", "Ce", "Ce", "Mg", "Mg", "Pb", "Pb", "Pb", "Pb"], "fractional_positions": [[0.430, 0.677, 0.355], [0.570, 0.323, 0.645], [0.075, 0.823, 0.645], [0.925, 0.177, 0.355], [0.500, 0.750, 0.000], [0.500, 0.250, 0.000], [0.000, 0.250, 0.000], [0.000, 0.750, 0.000], [0.368, 0.131, 0.262], [0.632, 0.869, 0.738], [0.106, 0.369, 0.738], [0.894, 0.631, 0.262]], "dft_energy_ev_per_atom": -4.690, "e_form_ev_per_atom": -0.22, "space_group": "Ibam", "e_above_lowest_polymorph_kcal_per_mol_atoms": 1.40}

# 12
{"formula": "CeMg4Pb", "functional": "PBE-GGA", "state": "relaxed", "lattice": [[6.070, 0.000, 0.000], [3.035, 5.257, 0.000], [3.035, 1.752, 4.956]], "species": ["Pb", "Mg", "Mg", "Mg", "Mg", "Ce"], "fractional_positions": [[0.000, 0.000, 0.000], [0.625, 0.625, 0.124], [0.625, 0.124, 0.625], [0.625, 0.625, 0.625], [0.124, 0.625, 0.625], [0.250, 0.250, 0.250]], "dft_energy_ev_per_atom": -2.639, "e_form_ev_per_atom": 0.03, "space_group": "F-43m"}

# 13
{"formula": "Ce3MgPb4", "functional": "PBE-GGA", "state": "relaxed", "lattice": [[-5.030, -0.001, -2.718], [2.157, -3.480, -3.991], [-0.613, -3.885, 7.148]], "species": ["Pb", "Pb", "Pb", "Pb", "Mg", "Ce", "Ce", "Ce"], "fractional_positions": [[0.379, 0.379, 0.758], [0.621, 0.621, 0.242], [0.121, 0.121, 0.242], [0.879, 0.879, 0.758], [0.500, 0.000, 0.000], [0.000, 0.500, 0.000], [0.746, 0.246, 0.491], [0.254, 0.754, 0.509]], "dft_energy_ev_per_atom": -4.567, "e_form_ev_per_atom": -0.29, "space_group": "I4/mmm", "e_above_lowest_polymorph_kcal_per_mol_atoms": 0.69}

# 14
{"formula": "Ce2MgPb", "functional": "PBE-GGA", "state": "relaxed", "lattice": [[5.492, 0.000, 0.000], [2.746, 4.756, 0.000], [2.746, 1.585, 4.484]], "species": ["Pb", "Mg", "Ce", "Ce"], "fractional_positions": [[0.000, 0.000, 0.000], [0.500, 0.500, 0.500], [0.750, 0.750, 0.750], [0.250, 0.250, 0.250]], "dft_energy_ev_per_atom": -4.435, "e_form_ev_per_atom": -0.14, "space_group": "Fm-3m"}

# 15
{"formula": "Ce5MgPb3", "functional": "PBE-GGA", "state": "relaxed", "lattice": [[6.619, 0.000, 0.000], [0.000, 9.654, 0.000], [0.000, -4.827, 8.361]], "species": ["Ce", "Ce", "Ce", "Ce", "Ce", "Ce", "Ce", "Ce", "Ce", "Ce", "Mg", "Mg", "Pb", "Pb", "Pb", "Pb", "Pb", "Pb"], "fractional_positions": [[0.000, 0.667, 0.333], [0.500, 0.333, 0.667], [0.000, 0.333, 0.667], [0.500, 0.667, 0.333], [0.750, 0.695, 0.695], [0.750, 0.000, 0.305], [0.750, 0.305, 0.000], [0.250, 0.305, 0.305], [0.250, 0.000, 0.695], [0.250, 0.695, 0.000], [0.000, 0.000, 0.000], [0.500, 0.000, 0.000], [0.750, 0.356, 0.356], [0.750, 0.000, 0.644], [0.750, 0.644, 0.000], [0.250, 0.644, 0.644], [0.250, 0.000, 0.356], [0.250, 0.356, 0.000]], "dft_energy_ev_per_atom": -5.042, "e_form_ev_per_atom": -0.33, "space_group": "P6_3/mcm"}

# 16
{"formula": "Ce3MgPb2", "functional": "PBE-GGA", "state": "relaxed", "lattice": [[4.551, 0.000, 0.000], [0.000, 4.783, -1.583], [0.000, 0.004, 8.027]], "species": ["Ce", "Ce", "Ce", "Mg", "Pb", "Pb"], "fractional_positions": [[0.500, 0.500, 0.000], [0.500, 0.826, 0.653], [0.500, 0.174, 0.347], [0.000, 0.000, 0.000], [0.000, 0.345, 0.690], [0.000, 0.655, 0.310]], "dft_energy_ev_per_atom": -4.750, "e_form_ev_per_atom": -0.28, "space_group": "Cmmm", "e_above_lowest_polymorph_kcal_per_mol_atoms": 0.00}

# 17
{"formula": "Ce3MgPb5", "functional": "PBE-GGA", "state": "relaxed", "lattice": [[-1.421, 3.882, -5.120], [-9.160, 0.083, 2.604], [5.967, 6.618, 3.363]], "species": ["Ce", "Ce", "Ce", "Ce", "Ce", "Ce", "Mg", "Mg", "Pb", "Pb", "Pb", "Pb", "Pb", "Pb", "Pb", "Pb", "Pb", "Pb"], "fractional_positions": [[0.750, 0.378, 0.000], [0.750, 0.622, 0.622], [0.750, 0.000, 0.378], [0.250, 0.622, 0.000], [0.250, 0.378, 0.378], [0.250, 0.000, 0.622], [0.000, 0.000, 0.000], [0.500, 0.000, 0.000], [0.000, 0.333, 0.667], [0.500, 0.667, 0.333], [0.000, 0.667, 0.333], [0.500, 0.333, 0.667], [0.750, 0.718, 0.000], [0.750, 0.282, 0.282], [0.750, 0.000, 0.718], [0.250, 0.282, 0.000], [0.250, 0.718, 0.718], [0.250, 0.000, 0.282]], "dft_energy_ev_per_atom": -4.554, "e_form_ev_per_atom": -0.34, "space_group": "P6_3/mcm"}

# 18
{"formula": "CePmMgPb", "functional": "PBE-GGA", "state": "relaxed", "lattice": [[-0.970, -4.573, 2.876], [3.874, -3.867, 0.395], [2.569, -0.834, 4.778]], "species": ["Pb", "Mg", "Ce", "Pm"], "fractional_positions": [[0.500, 0.500, 0.500], [0.000, 0.000, 0.000], [0.750, 0.750, 0.750], [0.250, 0.250, 0.250]], "dft_energy_ev_per_atom": -4.235, "e_form_ev_per_atom": -0.24, "space_group": "F-43m"}

# 19
{"formula": "CePuMgPb", "functional": "PBE-GGA", "state": "relaxed", "lattice": [[5.459, 0.000, 0.000], [2.729, 4.727, 0.000], [2.729, 1.576, 4.457]], "species": ["Pb", "Mg", "Ce", "Pu"], "fractional_positions": [[0.250, 0.250, 0.250], [0.750, 0.750, 0.750], [0.500, 0.500, 0.500], [0.000, 0.000, 0.000]], "dft_energy_ev_per_atom": -6.452, "e_form_ev_per_atom": -0.06, "space_group": "F-43m"}

# 20
{"formula": "CeMgRhPb", "functional": "PBE-GGA", "state": "relaxed", "lattice": [[5.037, 0.000, 0.000], [2.518, 4.362, 0.000], [2.518, 1.454, 4.113]], "species": ["Pb", "Mg", "Rh", "Ce"], "fractional_positions": [[0.750, 0.750, 0.750], [0.000, 0.000, 0.000], [0.250, 0.250, 0.250], [0.500, 0.500, 0.500]], "dft_energy_ev_per_atom": -4.941, "e_form_ev_per_atom": -0.29, "space_group": "F-43m"}